Entry from the Alexandria database: a geometry-optimized Ac3SbO6F2 structure (PBE-GGA).

abc: 12.325 7.014 5.235
angles: 90.00 93.32 90.00
Space group C2/m (No. 12)
Unique sites:
Ac  0.000  0.000  0.000 [2 per cell]
Ac  0.250  0.250  0.500 [4 per cell]
Sb  0.000  0.500  0.500 [2 per cell]
O  0.064  0.275  0.292 [8 per cell]
O  0.148  0.500  0.698 [4 per cell]
F  0.178  0.000  0.794 [4 per cell]

Values from the calculation:
For the raw total energy, the calculation gives -6.906 eV/atom. The value obtained for the uncorrected formation energy is -2.745 eV per atom.

=====

Entry from the Alexandria database: a geometry-optimized Ba3ErAu2O6 structure (PBE-GGA).

abc: 6.1896 6.1896 6.9221
angles: 90.00 90.00 120.00
Space group P-3m1 (No. 164)
Unique sites:
Ba  0.0000  0.0000  0.0000 [1 per cell]
Ba  0.3333  0.6667  0.6315 [2 per cell]
Er  0.0000  0.0000  0.5000 [1 per cell]
Au  0.3333  0.6667  0.1341 [2 per cell]
O  0.1641  0.3283  0.3118 [6 per cell]

Values from the calculation:
For the raw total energy, the calculation gives -5.658 eV/atom. The value obtained for the uncorrected formation energy is -1.772 eV per atom.

=====

Entry from the Alexandria database: a geometry-optimized TiMoPtC2 structure (PBE-GGA).

abc: 3.957 3.957 5.132
angles: 90.00 90.00 90.00
Space group P4/mmm (No. 123)
Unique sites:
Ti  0.000  0.000  0.000 [1 per cell]
Mo  0.500  0.500  0.500 [1 per cell]
Pt  0.500  0.500  0.000 [1 per cell]
C  0.000  0.500  0.500 [2 per cell]

Values from the calculation:
For the raw total energy, the calculation gives -7.369 eV/atom. As for the formation enthalpy at 0 K: 1274 meV per atom.

=====

Which formula does entry 1 have?
Ac3SbO6F2

=====

What did the third record say?
Entry from the Alexandria database: a geometry-optimized TiMoPtC2 structure (PBE-GGA).

abc: 3.957 3.957 5.132
angles: 90.00 90.00 90.00
Space group P4/mmm (No. 123)
Unique sites:
Ti  0.000  0.000  0.000 [1 per cell]
Mo  0.500  0.500  0.500 [1 per cell]
Pt  0.500  0.500  0.000 [1 per cell]
C  0.000  0.500  0.500 [2 per cell]

Values from the calculation:
For the raw total energy, the calculation gives -7.369 eV/atom. As for the formation enthalpy at 0 K: 1274 meV per atom.

=====

raw total energy of number 2 (Ba3ErAu2O6)?
-5.658 eV/atom